(1)
Entry from the Alexandria database: Pu2MgZr after structural relaxation (PBE).

a b c (Å): 3.2388 3.2388 33.2025
angles (deg): 90.00 90.00 120.00
Space group R-3m (No. 166, hexagonal axes)
Inequivalent atoms, fractional coordinates:
Pu1 0.0000 0.0000 0.2471
Mg1 0.0000 0.0000 0.0000
Zr1 0.0000 0.0000 0.5000

Electronic total energy (eV/atom): -9.535
ΔH_f (0 K) (eV per atom): 0.167



(2)
Entry from the Alexandria database: In2Cu7Sb2Pt after structural relaxation (PBE).

a b c (Å): 5.1807 5.1822 15.8452
angles (deg): 90.00 97.19 90.00
Space group C2/m (No. 12)
Inequivalent atoms, fractional coordinates:
In1 0.0901 0.0000 0.2539
Cu1 0.0000 0.0000 0.0000
Cu2 0.1833 0.0000 0.4480
Cu3 0.2061 0.2509 0.8792
Sb1 0.1608 0.5000 0.3851
Pt1 0.0000 0.5000 0.0000

Electronic total energy (eV/atom): -3.975
Raw formation energy (eV/atom): 0.06



(3)
Entry from the Alexandria database: Mn2ReSb after structural relaxation (PBE).

a b c (Å): 5.4054 7.6162 3.0041
angles (deg): 90.00 90.00 90.00
Space group Cmmm (No. 65)
Inequivalent atoms, fractional coordinates:
Mn1 0.2500 0.2500 0.0000
Re1 0.0000 0.0000 0.5000
Sb1 0.0000 0.5000 0.5000

Electronic total energy (eV/atom): -8.414
Raw formation energy (eV/atom): 0.31



(4)
Entry from the Alexandria database: Pm2AlBr after structural relaxation (PBE).

a b c (Å): 3.8574 3.8574 26.1111
angles (deg): 90.00 90.00 120.00
Space group R-3m (No. 166, hexagonal axes)
Inequivalent atoms, fractional coordinates:
Pm1 0.0000 0.0000 0.2455
Al1 0.0000 0.0000 0.5000
Br1 0.0000 0.0000 0.0000

Electronic total energy (eV/atom): -4.435
Raw formation energy (eV/atom): -0.71



(5)
Entry from the Alexandria database: NaTb2Ho after structural relaxation (PBE).

a b c (Å): 3.5002 3.5002 37.9749
angles (deg): 90.00 90.00 120.00
Space group R-3m (No. 166, hexagonal axes)
Inequivalent atoms, fractional coordinates:
Na1 0.0000 0.0000 0.0000
Tb1 0.0000 0.0000 0.0923
Ho1 0.0000 0.0000 0.5000

Electronic total energy (eV/atom): -3.636
ΔH_f (0 K) (eV per atom): 0.153



(6)
Entry from the Alexandria database: La4Sm5Y2 after structural relaxation (PBE).

a b c (Å): 3.5491 9.4400 23.2777
angles (deg): 90.00 90.00 90.00
Space group Immm (No. 71)
Inequivalent atoms, fractional coordinates:
La1 0.0000 0.0000 0.0941
La2 0.0000 0.2910 0.5000
Sm1 0.0000 0.1987 0.3505
Sm2 0.0000 0.5000 0.0000
Y1 0.0000 0.0000 0.2284

Electronic total energy (eV/atom): -4.861
ΔH_f (0 K) (eV per atom): 0.251



(7)
Entry from the Alexandria database: MgAgBi after structural relaxation (PBE).

a b c (Å): 8.6153 8.9368 4.9575
angles (deg): 90.00 90.00 90.00
Space group Cmmm (No. 65)
Inequivalent atoms, fractional coordinates:
Mg1 0.0000 0.1819 0.0000
Ag1 0.1704 0.5000 0.5000
Bi1 0.0000 0.0000 0.5000
Bi2 0.0000 0.5000 0.0000

Electronic total energy (eV/atom): -2.608
ΔH_f (0 K) (eV per atom): 0.167



(8)
Entry from the Alexandria database: Nb6CuNi after structural relaxation (PBE).

a b c (Å): 4.6980 4.6980 12.1190
angles (deg): 90.00 90.00 90.00
Space group I4/mmm (No. 139)
Inequivalent atoms, fractional coordinates:
Nb1 0.0000 0.0000 0.2489
Nb2 0.0000 0.5000 0.1208
Cu1 0.0000 0.0000 0.0000
Ni1 0.0000 0.0000 0.5000

Electronic total energy (eV/atom): -8.780
ΔH_f (0 K) (eV per atom): 0.007



(9)
Entry from the Alexandria database: Tb2DyCd after structural relaxation (PBE).

a b c (Å): 3.5913 3.5913 9.0645
angles (deg): 90.00 90.00 90.00
Space group P4/mmm (No. 123)
Inequivalent atoms, fractional coordinates:
Tb1 0.0000 0.0000 0.2280
Dy1 0.5000 0.5000 0.5000
Cd1 0.5000 0.5000 0.0000

Electronic total energy (eV/atom): -3.839
ΔH_f (0 K) (eV per atom): -0.145



(10)
Entry from the Alexandria database: SrHg3B after structural relaxation (PBE).

a b c (Å): 6.4414 6.4414 6.4414
angles (deg): 90.00 90.00 90.00
Space group Pm-3m (No. 221)
Inequivalent atoms, fractional coordinates:
Sr1 0.0000 0.0000 0.0000
Hg1 0.0000 0.0000 0.5000
B1 0.5000 0.5000 0.5000

Electronic total energy (eV/atom): -0.592
ΔH_f (0 K) (eV per atom): 1.261



(11)
Entry from the Alexandria database: SmThSn2 after structural relaxation (PBE).

a b c (Å): 3.5345 3.5345 9.0215
angles (deg): 90.00 90.00 90.00
Space group P4/mmm (No. 123)
Inequivalent atoms, fractional coordinates:
Sm1 0.0000 0.0000 0.0000
Th1 0.0000 0.0000 0.5000
Sn1 0.5000 0.5000 0.2464

Electronic total energy (eV/atom): -5.621
ΔH_f (0 K) (eV per atom): -0.585



(12)
Entry from the Alexandria database: Cs2Na15Cd2 after structural relaxation (PBE).

a b c (Å): 12.3048 12.3048 17.6710
angles (deg): 90.00 90.00 120.00
Space group R-3m (No. 166, hexagonal axes)
Inequivalent atoms, fractional coordinates:
Cs1 0.0000 0.0000 0.1563
Na1 0.0000 0.2743 0.5000
Na2 0.0000 0.5000 0.0000
Na3 0.0199 0.5099 0.3514
Cd1 0.0000 0.0000 0.4110

Electronic total energy (eV/atom): -1.214
ΔH_f (0 K) (eV per atom): 0.013



(13)
Entry from the Alexandria database: H14RuS2N4O6 after structural relaxation (PBE).

a b c (Å): 6.3892 7.0078 11.7747
angles (deg): 90.00 114.39 90.00
Space group P2_1/c (No. 14)
Inequivalent atoms, fractional coordinates:
H1 0.0515 0.0153 0.3365
H2 0.1569 0.2021 0.5243
H3 0.1910 0.5927 0.7630
H4 0.2006 0.1400 0.2798
H5 0.2959 0.5325 0.4088
H6 0.3364 0.1209 0.6633
H7 0.3963 0.1830 0.1062
Ru1 0.5000 0.0000 0.5000
S1 0.3531 0.7407 0.5582
N1 0.2018 0.0148 0.3248
N2 0.3275 0.1827 0.5823
O1 0.1873 0.7191 0.1141
O2 0.1932 0.6119 0.4362
O3 0.4666 0.0990 0.8614

Electronic total energy (eV/atom): -5.442



(14)
Entry from the Alexandria database: Zr3ScPt after structural relaxation (PBE).

a b c (Å): 4.8969 4.8969 4.8969
angles (deg): 90.00 90.00 90.00
Space group Pm-3m (No. 221)
Inequivalent atoms, fractional coordinates:
Zr1 0.0000 0.0000 0.5000
Sc1 0.0000 0.0000 0.0000
Pt1 0.5000 0.5000 0.5000

Electronic total energy (eV/atom): -6.558
ΔH_f (0 K) (eV per atom): 1.045



(15)
Entry from the Alexandria database: Pu2Se2N after structural relaxation (PBE).

a b c (Å): 6.6383 11.2940 5.7168
angles (deg): 90.00 90.00 90.00
Space group Ibam (No. 72)
Inequivalent atoms, fractional coordinates:
Pu1 0.2009 0.1003 0.0000
Se1 0.1524 0.3549 0.0000
N1 0.0000 0.0000 0.2500

Electronic total energy (eV/atom): -10.188
Raw formation energy (eV/atom): -1.40



(16)
Entry from the Alexandria database: AcLa3Sn3 after structural relaxation (PBE).

a b c (Å): 9.9077 9.9077 6.2593
angles (deg): 90.00 90.00 120.00
Space group P6_3/m (No. 176)
Inequivalent atoms, fractional coordinates:
Ac1 0.3333 0.6667 0.2500
La1 0.0081 0.7042 0.7500
Sn1 0.0291 0.3824 0.7500

Electronic total energy (eV/atom): -4.951
ΔH_f (0 K) (eV per atom): -0.537



(17)
Entry from the Alexandria database: Rb3CrCo after structural relaxation (PBE).

a b c (Å): 6.5383 6.5383 6.5383
angles (deg): 90.00 90.00 90.00
Space group Pm-3m (No. 221)
Inequivalent atoms, fractional coordinates:
Rb1 0.0000 0.0000 0.5000
Cr1 0.5000 0.5000 0.5000
Co1 0.0000 0.0000 0.0000

Electronic total energy (eV/atom): -2.723
ΔH_f (0 K) (eV per atom): 1.204



(18)
Entry from the Alexandria database: Nd3HgSe2 after structural relaxation (PBE).

a b c (Å): 5.0544 13.3685 10.3033
angles (deg): 90.00 90.00 90.00
Space group Cmcm (No. 63)
Inequivalent atoms, fractional coordinates:
Nd1 0.0000 0.1181 0.2500
Nd2 0.0000 0.3670 0.0517
Hg1 0.0000 0.2233 0.7500
Se1 0.0000 0.0000 0.0000
Se2 0.0000 0.4749 0.7500

Electronic total energy (eV/atom): -4.718
Raw formation energy (eV/atom): -1.12



(19)
Entry from the Alexandria database: La2ThH8 after structural relaxation (PBE).

a b c (Å): 3.7683 5.8641 11.3704
angles (deg): 90.00 90.00 90.00
Space group Immm (No. 71)
Inequivalent atoms, fractional coordinates:
La1 0.0000 0.0000 0.1672
Th1 0.0000 0.0000 0.5000
H1 0.0000 0.2487 0.0000
H2 0.0000 0.2501 0.3404
H3 0.0000 0.5000 0.1534

Electronic total energy (eV/atom): -4.574



(20)
Entry from the Alexandria database: GdTaB2 after structural relaxation (PBE).

a b c (Å): 3.4533 3.4533 17.7244
angles (deg): 90.00 90.00 120.00
Space group R-3m (No. 166, hexagonal axes)
Inequivalent atoms, fractional coordinates:
Gd1 0.0000 0.0000 0.0000
Ta1 0.0000 0.0000 0.5000
B1 0.0000 0.0000 0.2341

Electronic total energy (eV/atom): -9.936
ΔH_f (0 K) (eV per atom): -0.114